# Ac2GeCl

An optimized crystal structure of Ac2GeCl (PBE, the Alexandria database).

a b c (Å): 8.8985 18.2486 7.6915
angles (deg): 90.00 123.39 90.00
Space group C2/c (No. 15)
One atom of each set of equivalent atoms:
Ac 0.2401 0.0629 0.2329 [8 per cell]
Ac 0.2442 0.1880 0.7626 [8 per cell]
Ge 0.0000 0.0612 0.7500 [4 per cell]
Ge 0.0000 0.3146 0.7500 [4 per cell]
Cl 0.0000 0.1841 0.2500 [4 per cell]
Cl 0.0000 0.4425 0.2500 [4 per cell]

Energy relative to the elements, uncorrected in meV per atom: -1239
Energy above the most stable polymorph in this dataset in eV per formula unit: 0.000